(1)
VASP calculation (PBE) on a geometry-optimized LiCdCo2C structure.

CIF file:
```
data_LiCdCo2C
_chemical_formula_sum 'Li1 Cd1 Co2 C1'
_symmetry_space_group_name_H-M 'P 4/m m m'
_symmetry_Int_Tables_number 123
_symmetry_space_group_name_Hall '-P 4 2'
_cell_length_a 3.724
_cell_length_b 3.724
_cell_length_c 4.180
_cell_angle_alpha 90.00
_cell_angle_beta 90.00
_cell_angle_gamma 90.00
loop_
_atom_site_label
_atom_site_type_symbol
_atom_site_fract_x
_atom_site_fract_y
_atom_site_fract_z
Li1 Li 0.000 0.000 0.000
Cd1 Cd 0.500 0.500 0.000
Co1 Co 0.000 0.500 0.500
C1 C 0.000 0.000 0.500
```

Results
As for the formation enthalpy at 0 K: -0.01 eV/f.u.



(2)
VASP calculation (PBE) on a geometry-optimized Mn2CdCoC structure.

CIF file:
```
data_Mn2CdCoC
_chemical_formula_sum 'Mn2 Cd1 Co1 C1'
_symmetry_space_group_name_H-M 'P 4/m m m'
_symmetry_Int_Tables_number 123
_symmetry_space_group_name_Hall '-P 4 2'
_cell_length_a 3.960
_cell_length_b 3.960
_cell_length_c 3.867
_cell_angle_alpha 90.00
_cell_angle_beta 90.00
_cell_angle_gamma 90.00
loop_
_atom_site_label
_atom_site_type_symbol
_atom_site_fract_x
_atom_site_fract_y
_atom_site_fract_z
Mn1 Mn 0.000 0.500 0.000
Cd1 Cd 0.000 0.000 0.500
Co1 Co 0.500 0.500 0.500
C1 C 0.500 0.500 0.000
```

Results
As for the formation enthalpy at 0 K: 0.51 eV/f.u.



(3)
VASP calculation (PBE) on a geometry-optimized MnCdCo2C structure.

CIF file:
```
data_MnCdCo2C
_chemical_formula_sum 'Mn1 Cd1 Co2 C1'
_symmetry_space_group_name_H-M 'P 4/m m m'
_symmetry_Int_Tables_number 123
_symmetry_space_group_name_Hall '-P 4 2'
_cell_length_a 3.878
_cell_length_b 3.878
_cell_length_c 3.900
_cell_angle_alpha 90.00
_cell_angle_beta 90.00
_cell_angle_gamma 90.00
loop_
_atom_site_label
_atom_site_type_symbol
_atom_site_fract_x
_atom_site_fract_y
_atom_site_fract_z
Mn1 Mn 0.000 0.000 0.000
Cd1 Cd 0.500 0.500 0.000
Co1 Co 0.000 0.500 0.500
C1 C 0.000 0.000 0.500
```

Results
As for the formation enthalpy at 0 K: 0.54 eV/f.u.



(4)
VASP calculation (PBE) on a geometry-optimized Cd3Co2C12N12 structure.

CIF file:
```
data_Cd3Co2C12N12
_chemical_formula_sum 'Cd3 Co2 C12 N12'
_symmetry_space_group_name_H-M 'P -4 m 2'
_symmetry_Int_Tables_number 115
_cell_length_a 7.598
_cell_length_b 7.598
_cell_length_c 10.638
_cell_angle_alpha 90.00
_cell_angle_beta 90.00
_cell_angle_gamma 90.00
loop_
_symmetry_equiv_pos_as_xyz
'x,y,z'
'y,-x,-z'
'-x,-y,z'
'-y,x,-z'
'-x,y,z'
'-y,-x,-z'
'x,-y,z'
'y,x,-z'
loop_
_atom_site_label
_atom_site_type_symbol
_atom_site_fract_x
_atom_site_fract_y
_atom_site_fract_z
Cd1 Cd 0.000 0.000 0.000
Cd2 Cd 0.000 0.500 0.252
Co1 Co 0.000 0.500 0.750
C1 C 0.000 0.500 0.573
C2 C 0.000 0.500 0.924
C3 C 0.169 0.322 0.757
N1 N 0.000 0.500 0.033
N2 N 0.000 0.500 0.463
N3 N 0.205 0.267 0.228
```

Results
The value obtained for the uncorrected formation energy is 0.43 eV/atom.



Number 1: V 11.59 A^3/atom, total DFT energy (no corrections) -5.256 eV/atom, calculated density 7.14 Mg/m³. Number 2: V 12.12 A^3/atom, total DFT energy (no corrections) -7.014 eV/atom, calculated density 8.03 Mg/m³. Number 3: V 11.73 A^3/atom, total DFT energy (no corrections) -6.597 eV/atom, calculated density 8.41 Mg/m³. Number 4: V 21.18 A^3/atom, total DFT energy (no corrections) -7.418 eV/atom, calculated density 2.07 Mg/m³.